[1]
# Ta4HgPt

Crystalline Ta4HgPt at its relaxed geometry (PBE, Alexandria).

Properties
DFT total energy	-8.61	eV/atom

CIF file:
```
data_Ta4HgPt
_chemical_formula_sum 'Ta16 Hg4 Pt4'
_cell_length_a 7.6803
_cell_length_b 7.6803
_cell_length_c 7.6803
_cell_angle_alpha 90.00
_cell_angle_beta 90.00
_cell_angle_gamma 90.00
_symmetry_space_group_name_H-M 'F -4 3 m'
_symmetry_Int_Tables_number 216
_symmetry_space_group_name_Hall 'F -4 2 3'
loop_
_atom_site_label
_atom_site_type_symbol
_atom_site_fract_x
_atom_site_fract_y
_atom_site_fract_z
Ta1 Ta 0.1243 0.1243 0.1243
Hg1 Hg 0.2500 0.2500 0.7500
Pt1 Pt 0.0000 0.0000 0.5000
```

[2]
# KLaZn2

Crystalline KLaZn2 at its relaxed geometry (PBE, Alexandria).

Properties
relative energy among the computed polymorphs	0	meV/atom

CIF file:
```
data_KLaZn2
_chemical_formula_sum 'K1 La1 Zn2'
_cell_length_a 3.8353
_cell_length_b 3.8982
_cell_length_c 8.1801
_cell_angle_alpha 90.00
_cell_angle_beta 90.00
_cell_angle_gamma 90.00
_symmetry_space_group_name_H-M 'P m m m'
_symmetry_Int_Tables_number 47
loop_
_symmetry_equiv_pos_as_xyz
'x,y,z'
'-x,-y,-z'
'-x,-y,z'
'x,y,-z'
'x,-y,-z'
'-x,y,z'
'-x,y,-z'
'x,-y,z'
loop_
_atom_site_label
_atom_site_type_symbol
_atom_site_fract_x
_atom_site_fract_y
_atom_site_fract_z
K1 K 0.0000 0.0000 0.0000
La1 La 0.0000 0.0000 0.5000
Zn1 Zn 0.5000 0.5000 0.2999
```

[3]
# Tl2ReHg

Crystalline Tl2ReHg at its relaxed geometry (PBE, Alexandria).

Properties
relative energy among the computed polymorphs	270	meV/atom

CIF file:
```
data_Tl2ReHg
_chemical_formula_sum 'Tl2 Re1 Hg1'
_cell_length_a 3.0229
_cell_length_b 5.2818
_cell_length_c 5.5349
_cell_angle_alpha 90.00
_cell_angle_beta 90.00
_cell_angle_gamma 90.00
_symmetry_space_group_name_H-M 'P m m m'
_symmetry_Int_Tables_number 47
loop_
_symmetry_equiv_pos_as_xyz
'x,y,z'
'-x,-y,-z'
'-x,-y,z'
'x,y,-z'
'x,-y,-z'
'-x,y,z'
'-x,y,-z'
'x,-y,z'
loop_
_atom_site_label
_atom_site_type_symbol
_atom_site_fract_x
_atom_site_fract_y
_atom_site_fract_z
Tl1 Tl 0.0000 0.0000 0.0000
Tl2 Tl 0.5000 0.0000 0.5000
Re1 Re 0.0000 0.5000 0.5000
Hg1 Hg 0.5000 0.5000 0.0000
```

[4]
# Y2GeTe2

Crystalline Y2GeTe2 at its relaxed geometry (PBE, Alexandria).

Properties
relative energy among the computed polymorphs	0	meV/atom

CIF file:
```
data_Y2GeTe2
_chemical_formula_sum 'Y4 Ge2 Te4'
_cell_length_a 8.1923
_cell_length_b 8.1923
_cell_length_c 4.1128
_cell_angle_alpha 90.00
_cell_angle_beta 90.00
_cell_angle_gamma 90.00
_symmetry_space_group_name_H-M 'P 4/m b m'
_symmetry_Int_Tables_number 127
_symmetry_space_group_name_Hall '-P 4 2ab'
loop_
_atom_site_label
_atom_site_type_symbol
_atom_site_fract_x
_atom_site_fract_y
_atom_site_fract_z
Y1 Y 0.1607 0.3393 0.0000
Ge1 Ge 0.0000 0.0000 0.0000
Te1 Te 0.1450 0.6450 0.5000
```

[5]
# CePmIrPt

Crystalline CePmIrPt at its relaxed geometry (PBE, Alexandria).

Properties
relative energy among the computed polymorphs	0	meV/atom

CIF file:
```
data_CePmIrPt
_chemical_formula_sum 'Ce2 Pm2 Ir2 Pt2'
_cell_length_a 4.1991
_cell_length_b 3.8757
_cell_length_c 11.3755
_cell_angle_alpha 90.00
_cell_angle_beta 90.00
_cell_angle_gamma 90.00
_symmetry_space_group_name_H-M 'A m m 2'
_symmetry_Int_Tables_number 38
loop_
_symmetry_equiv_pos_as_xyz
'x,y,z'
'-x,-y,z'
'-x,y,z'
'x,-y,z'
'x,y+1/2,z+1/2'
'-x,-y+1/2,z+1/2'
'-x,y+1/2,z+1/2'
'x,-y+1/2,z+1/2'
loop_
_atom_site_label
_atom_site_type_symbol
_atom_site_fract_x
_atom_site_fract_y
_atom_site_fract_z
Ce1 Ce 0.0000 0.0000 0.0000
Pm1 Pm 0.5000 0.0000 0.2764
Ir1 Ir 0.5000 0.0000 0.5357
Pt1 Pt 0.0000 0.0000 0.7189
```

[6]
# Pr2Ga2Ag3

Crystalline Pr2Ga2Ag3 at its relaxed geometry (PBE, Alexandria).

Properties
relative energy among the computed polymorphs	0	meV/atom

CIF file:
```
data_Pr2Ga2Ag3
_chemical_formula_sum 'Pr4 Ga4 Ag6'
_cell_length_a 10.6406
_cell_length_b 4.4122
_cell_length_c 7.2106
_cell_angle_alpha 90.00
_cell_angle_beta 112.54
_cell_angle_gamma 90.00
_symmetry_space_group_name_H-M 'C 1 2/m 1'
_symmetry_Int_Tables_number 12
loop_
_symmetry_equiv_pos_as_xyz
'x,y,z'
'-x,-y,-z'
'-x,y,-z'
'x,-y,z'
'x+1/2,y+1/2,z'
'-x+1/2,-y+1/2,-z'
'-x+1/2,y+1/2,-z'
'x+1/2,-y+1/2,z'
loop_
_atom_site_label
_atom_site_type_symbol
_atom_site_fract_x
_atom_site_fract_y
_atom_site_fract_z
Pr1 Pr 0.1394 0.0000 0.2685
Ga1 Ga 0.1504 0.0000 0.7136
Ag1 Ag 0.0000 0.5000 0.5000
Ag2 Ag 0.1173 0.5000 0.9312
```